Compound: BeAsPb
Source: Alexandria
Functional: GGA-PBEsol
Structure: relaxed

```
3
Lattice="-3.744 0.296 0.027 1.815 -1.154 3.079 0.388 4.764 1.557" Properties=species:S:1:pos:R:3 pbc="T T T"
Pb 0.097 0.990 2.604
Be -1.581 3.609 2.285
As 0.332 4.071 1.330
```

Values from the calculation:
Energy above the lowest structure with this stoichiometry ... 0.00 eV per formula unit
DFT total energy ... -4.353 eV per atom
E_form ... 0.02 eV per atom


Compound: Be3AsPd
Source: Alexandria
Functional: GGA-PBEsol
Structure: relaxed

```
5
Lattice="4.156 0.000 0.000 0.000 4.156 0.000 0.000 0.000 4.156" Properties=species:S:1:pos:R:3 pbc="T T T"
Be 0.000 2.078 0.000
Be 0.000 0.000 2.078
Be 2.078 0.000 0.000
As 0.000 0.000 0.000
Pd 2.078 2.078 2.078
```

Values from the calculation:
DFT total energy ... -3.845 eV per atom
E_form ... 0.77 eV per atom


Compound: BeAsPd2
Source: Alexandria
Functional: GGA-PBEsol
Structure: relaxed

```
4
Lattice="-0.752 4.165 -0.092 -3.874 1.431 -0.928 -2.374 1.789 3.013" Properties=species:S:1:pos:R:3 pbc="T T T"
Be 0.000 0.000 0.000
As -3.500 3.692 0.996
Pd -1.750 1.846 0.498
Pd -5.250 5.539 1.495
```

Values from the calculation:
DFT total energy ... -5.537 eV per atom
E_form ... -0.28 eV per atom


Compound: Be3AsPt
Source: Alexandria
Functional: GGA-PBEsol
Structure: relaxed

```
5
Lattice="-2.911 1.517 -2.519 -1.262 -3.846 -0.858 -2.656 0.164 3.169" Properties=species:S:1:pos:R:3 pbc="T T T"
Be -0.631 -1.923 -0.429
Be -1.328 0.082 1.584
Be -1.456 0.758 -1.259
As 0.000 0.000 0.000
Pt -3.414 -1.083 -0.104
```

Values from the calculation:
DFT total energy ... -4.078 eV per atom
E_form ... 0.74 eV per atom


Compound: Be2As2Pt
Source: Alexandria
Functional: GGA-PBEsol
Structure: relaxed

```
5
Lattice="-0.151 3.490 0.918 -3.446 -0.412 1.001 3.417 -2.798 4.091" Properties=species:S:1:pos:R:3 pbc="T T T"
Be 1.313 -1.022 4.098
Be -1.493 1.301 1.913
As -0.914 -0.836 3.026
As 0.734 1.115 2.985
Pt 0.000 0.000 0.000
```

Values from the calculation:
DFT total energy ... -4.629 eV per atom
E_form ... 0.41 eV per atom


Compound: Be2AsPtRh
Source: Alexandria
Functional: GGA-PBEsol
Structure: relaxed

```
5
Lattice="4.121 0.000 0.000 0.000 4.121 0.000 0.000 0.000 4.512" Properties=species:S:1:pos:R:3 pbc="T T T"
Be 0.000 2.060 0.000
Be 2.060 0.000 0.000
As 0.000 0.000 2.256
Rh 0.000 0.000 0.000
Pt 2.060 2.060 2.256
```

Values from the calculation:
DFT total energy ... -5.210 eV per atom
E_form ... 0.43 eV per atom


Compound: BeAsPtSe2
Source: Alexandria
Functional: GGA-PBEsol
Structure: relaxed

```
5
Lattice="4.546 0.000 0.000 0.000 5.100 0.000 0.000 0.000 5.100" Properties=species:S:1:pos:R:3 pbc="T T T"
Be 2.273 2.550 2.550
As 2.273 0.000 0.000
Se 0.000 0.000 2.550
Se 0.000 2.550 0.000
Pt 0.000 0.000 0.000
```

Values from the calculation:
DFT total energy ... -3.850 eV per atom
E_form (uncorrected) ... 4.5 eV/f.u.


Compound: BeSiAsPt2
Source: Alexandria
Functional: GGA-PBEsol
Structure: relaxed

```
5
Lattice="-2.633 -1.488 2.676 0.536 -4.175 -1.793 3.428 -0.814 2.920" Properties=species:S:1:pos:R:3 pbc="T T T"
Be -1.316 -0.744 1.338
As 0.666 -3.238 1.901
Si 0.000 0.000 0.000
Pt 1.714 -0.407 1.460
Pt 0.268 -2.088 -0.897
```

Values from the calculation:
DFT total energy ... -5.263 eV per atom
E_form (uncorrected) ... 2.5 eV/f.u.